Below is a geometry-optimized K4La3SnO8 structure, with properties calculated at the PBE-GGA level.

Results
- E (eV/atom) = -6.2348
- magnetization (μB/f.u.) = 0.000
- formation energy (no corrections) (eV/atom) = -2.307
- calculated density (kg/m3) = 4632

Structure (CIF):
```
data_K4La3SnO8
_chemical_formula_sum 'K12 La9 Sn3 O24'
_symmetry_space_group_name_H-M 'R -3 m'
_symmetry_Int_Tables_number 166
_symmetry_space_group_name_Hall '-R 3 2"'
_cell_length_a 7.3373
_cell_length_b 7.3373
_cell_length_c 18.9119
_cell_angle_alpha 90.00
_cell_angle_beta 90.00
_cell_angle_gamma 120.00
loop_
_atom_site_label
_atom_site_fract_x
_atom_site_fract_y
_atom_site_fract_z
K1 0.0000 0.0000 0.0000
K2 0.0000 0.5000 0.0000
La1 0.0000 0.5000 0.5000
Sn1 0.0000 0.0000 0.5000
O1 0.0000 0.0000 0.2299
O2 0.0096 0.5048 0.2306
```